RbPuTe3Au, optimized geometry, DFT PBE-GGA; formation energy (no corrections) = -77 kJ/mol of atoms; space-group type = Cmcm, No. 63
1.0
-2.314 3.556 -1.320
-1.801 -0.863 8.313
8.826 6.713 2.609
Te Rb Pu Au
6 2 2 2
direct
0.931 0.861 0.250
0.626 0.252 0.046
0.374 0.748 0.954
0.374 0.748 0.546
0.069 0.139 0.750
0.626 0.252 0.454
0.245 0.490 0.250
0.755 0.510 0.750
0.000 0.000 0.500
0.000 0.000 0.000
0.536 0.072 0.250
0.464 0.928 0.750